[1]
Computed, not measured: a relaxed structure of CsPrPO at the PBE-GGA level of DFT.

Properties
E above lowest polymorph ... 0.00 kJ per mole of atoms
Calculated density ... 4.2 g/cm3
Space group ... Pmc2_1 (26)

Lattice parameters (Å, degrees): 3.675 8.385 8.147 90.00 90.00 90.00
Fractional coordinates of all 8 atoms:
Cs (0.000, 0.054, 0.000)
Cs (0.000, 0.946, 0.500)
Pr (0.500, 0.383, 0.368)
Pr (0.500, 0.617, 0.868)
P (0.500, 0.303, 0.717)
P (0.500, 0.697, 0.217)
O (0.000, 0.257, 0.289)
O (0.000, 0.743, 0.789)


[2]
Computed, not measured: a relaxed structure of HfZrIr at the PBE-GGA level of DFT.

Properties
ΔE_f ... -2.060 eV per formula unit
E above lowest polymorph ... 4.64 kJ per mole of atoms
Calculated density ... 12.6 g/cm3
Space group ... Pnma (62)

Lattice parameters (Å, degrees): 6.593 4.503 8.228 90.00 90.00 90.00
Fractional coordinates of all 12 atoms:
Hf (0.009, 0.250, 0.174)
Hf (0.491, 0.750, 0.674)
Hf (0.509, 0.250, 0.326)
Hf (0.991, 0.750, 0.826)
Zr (0.153, 0.250, 0.584)
Zr (0.347, 0.750, 0.084)
Zr (0.653, 0.250, 0.916)
Zr (0.847, 0.750, 0.416)
Ir (0.241, 0.250, 0.911)
Ir (0.259, 0.750, 0.411)
Ir (0.741, 0.250, 0.589)
Ir (0.759, 0.750, 0.089)


[3]
Computed, not measured: a relaxed structure of LuCoHgSb at the PBE-GGA level of DFT.

Properties
E above lowest polymorph ... 5.03 kJ per mole of atoms
Calculated density ... 11.3 g/cm3
Space group ... F-43m (216)

Lattice parameters (Å, degrees): 4.866 4.866 4.866 60.00 60.00 60.00
Fractional coordinates of all 4 atoms:
Lu (0.000, 0.000, 0.000)
Co (0.750, 0.750, 0.750)
Hg (0.250, 0.250, 0.250)
Sb (0.500, 0.500, 0.500)


[4]
Computed, not measured: a relaxed structure of SrDyHf at the PBE-GGA level of DFT.

Properties
Calculated density ... 6.4 g/cm3
Raw total energy ... -4.191 eV per atom
Space group ... F-43m (216)

Lattice parameters (Å, degrees): 5.405 5.405 5.405 60.00 60.00 60.00
Fractional coordinates of all 3 atoms:
Sr (0.000, 0.000, 0.000)
Dy (0.750, 0.750, 0.750)
Hf (0.500, 0.500, 0.500)